Record 1
Material: Mg2RhCl
Method: DFT, PBE-GGA
State: optimized geometry

As for the raw formation energy: -0.521 eV/atom. As for the crystal system: monoclinic.

It has space group Cm (No. 8), with a = 9.992 Å, b = 3.271 Å, c = 4.264 Å, α = 90.00°, β = 90.32° and γ = 90.00°. The distinct sites, in fractional coordinates, are Mg at (0.000, 0.000, 0.000), Mg at (0.203, 0.500, 0.514), Rh at (0.440, 0.000, 0.501) and Cl at (0.262, 0.000, 0.015).

Record 2
Material: PmNbAs
Method: DFT, PBE-GGA
State: optimized geometry

The formation energy is -457 meV per atom. As for the crystal system: tetragonal.

It has space group I4mm (No. 107), with a = 3.496 Å, b = 3.496 Å, c = 10.982 Å, α = 90.00°, β = 90.00° and γ = 90.00°. The distinct sites, in fractional coordinates, are Pm at (0.000, 0.000, 0.000), Nb at (0.000, 0.000, 0.301) and As at (0.000, 0.000, 0.707).

Record 3
Material: BaScCrOs2
Method: DFT, PBE-GGA
State: optimized geometry

The formation energy is 791 meV per atom. As for the crystal system: tetragonal.

It has space group P4/mmm (No. 123), with a = 4.687 Å, b = 4.687 Å, c = 4.842 Å, α = 90.00°, β = 90.00° and γ = 90.00°. The distinct sites, in fractional coordinates, are Ba at (0.000, 0.000, 0.000), Sc at (0.500, 0.500, 0.000), Cr at (0.500, 0.500, 0.500) and Os at (0.000, 0.500, 0.500).

Record 4
Material: Dy2ErPu
Method: DFT, PBE-GGA
State: optimized geometry

The formation energy is 97 meV per atom. As for the crystal system: tetragonal.

It has space group P4/mmm (No. 123), with a = 3.479 Å, b = 3.479 Å, c = 9.979 Å, α = 90.00°, β = 90.00° and γ = 90.00°. The distinct sites, in fractional coordinates, are Dy at (0.000, 0.000, 0.246), Er at (0.500, 0.500, 0.500) and Pu at (0.500, 0.500, 0.000).

Record 5
Material: Sm4OsSCl2
Method: DFT, PBE-GGA
State: optimized geometry

As for the raw formation energy: -1.235 eV/atom. As for the crystal system: monoclinic.

It has space group P2/m (No. 10), with a = 7.303 Å, b = 3.995 Å, c = 7.457 Å, α = 90.00°, β = 107.18° and γ = 90.00°. The distinct sites, in fractional coordinates, are Sm at (0.223, 0.000, 0.210), Sm at (0.255, 0.500, 0.792), Os at (0.000, 0.500, 0.000), S at (0.500, 0.000, 0.000), Cl at (0.000, 0.000, 0.500) and Cl at (0.500, 0.500, 0.500).

Record 6
Material: La3Ga7Ru2
Method: DFT, PBE-GGA
State: optimized geometry

The formation energy is -534 meV per atom. As for the crystal system: orthorhombic.

It has space group Cmmm (No. 65), with a = 4.735 Å, b = 23.501 Å, c = 4.761 Å, α = 90.00°, β = 90.00° and γ = 90.00°. The distinct sites, in fractional coordinates, are La at (0.000, 0.000, 0.000), La at (0.000, 0.186, 0.000), Ga at (0.000, 0.097, 0.500), Ga at (0.000, 0.285, 0.500), Ga at (0.000, 0.405, 0.000), Ga at (0.000, 0.500, 0.500) and Ru at (0.000, 0.398, 0.500).